## Tb5Co2Se2 (PBE)

Data for Tb5Co2Se2 after structural relaxation.

Crystal system   orthorhombic
ΔE_f (raw)   -0.84 eV/atom
Space-group type   Cmce

abc: 7.526 7.443 8.358
angles: 90.00 63.25 90.00
Element x y z (fractional)
Tb  0.959  0.340  0.752
Tb  0.041  0.660  0.248
Tb  0.459  0.160  0.752
Co  0.131  0.371  0.000
Se  0.707  0.500  0.586
Co  0.631  0.129  0.000
Tb  0.788  0.840  0.752
Tb  0.000  0.000  0.000
Co  0.369  0.871  0.000
Se  0.793  0.000  0.414
Se  0.207  0.000  0.586
Tb  0.541  0.840  0.248
Tb  0.288  0.660  0.752
Tb  0.500  0.500  0.000
Tb  0.712  0.340  0.248
Tb  0.212  0.160  0.248
Se  0.293  0.500  0.414
Co  0.869  0.629  0.000

## SiNi2WI (PBE)

Data for SiNi2WI after structural relaxation.

Crystal system   tetragonal
ΔE_f (raw)   0.96 eV/atom
Space-group type   P4/mmm

abc: 4.333 4.718 4.333
angles: 90.00 90.00 90.00
Last column: magnetic moment on the atom in μB.
Element x y z (fractional)
I  0.500  0.500  0.500  0.14
Si  0.000  0.000  0.000  0.01
W  0.000  0.500  0.000  0.18
Ni  0.000  0.000  0.500  0.17
Ni  0.500  0.000  0.000  0.21

## GaAg3Au (PBE)

Data for GaAg3Au after structural relaxation.

Crystal system   cubic
Space-group type   Pm-3m
Distance to the lowest polymorph of the same formula   495 meV per atom

abc: 5.195 5.195 5.195
angles: 90.00 90.00 90.00
Element x y z (fractional)
Ag  0.000  0.000  0.500
Ag  0.500  0.000  0.000
Ga  0.500  0.500  0.500
Ag  0.000  0.500  0.000
Au  0.000  0.000  0.000

## Al3As4 (PBE)

Data for Al3As4 after structural relaxation.

Crystal system   tetragonal
Space-group type   I4/mmm
Distance to the lowest polymorph of the same formula   0 meV per atom

abc: 12.346 12.346 12.346
angles: 163.58 163.58 23.30
Element x y z (fractional)
As  0.819  0.819  0.000
Al  0.000  0.000  0.000
As  0.449  0.449  0.000
As  0.181  0.181  0.000
Al  0.713  0.713  0.000
As  0.551  0.551  0.000
Al  0.287  0.287  0.000

## YPIr2 (PBE)

Data for YPIr2 after structural relaxation.

Crystal system   tetragonal
Space-group type   I4/mmm
E_tot   -7.693 eV/atom

abc: 4.999 4.999 4.999
angles: 132.26 132.26 69.81
Element x y z (fractional)
Y  0.000  0.000  0.000
P  0.500  0.500  0.000
Ir  0.250  0.750  0.500
Ir  0.750  0.250  0.500

## ZrRu3Pb (PBE)

Data for ZrRu3Pb after structural relaxation.

Crystal system   cubic
Space-group type   Pm-3m
Distance to the lowest polymorph of the same formula   0 meV per atom

abc: 4.839 4.839 4.839
angles: 90.00 90.00 90.00
Last column: magnetic moment on the atom in μB.
Element x y z (fractional)
Ru  0.000  0.000  0.500  0.83
Ru  0.000  0.500  0.000  0.85
Pb  0.500  0.500  0.500  -0.05
Ru  0.500  0.000  0.000  0.61
Zr  0.000  0.000  0.000  -0.14

## NiHgW2 (PBE)

Data for NiHgW2 after structural relaxation.

Crystal system   monoclinic
Space-group type   Cm
E_tot   -7.439 eV/atom

abc: 4.818 4.818 5.111
angles: 81.86 81.86 33.13
Element x y z (fractional)
W  0.748  0.748  0.771
W  0.988  0.988  0.002
Hg  0.506  0.506  0.483
Ni  0.258  0.258  0.244

## Dy6Ho4Er (PBE)

Data for Dy6Ho4Er after structural relaxation.

Crystal system   orthorhombic
Space-group type   Cmcm
Distance to the lowest polymorph of the same formula   0 meV per atom

abc: 5.667 5.549 25.407
angles: 90.00 90.00 120.71
Element x y z (fractional)
Ho  0.534  0.068  0.622
Ho  0.845  0.691  0.957
Er  0.194  0.388  0.750
Dy  0.806  0.611  0.396
Dy  0.863  0.726  0.682
Ho  0.155  0.309  0.457
Dy  0.500  0.000  0.500
Ho  0.155  0.309  0.043
Dy  0.137  0.274  0.318
Dy  0.194  0.389  0.604
Dy  0.806  0.611  0.104
Ho  0.845  0.691  0.543
Dy  0.863  0.726  0.818
Dy  0.137  0.274  0.182
Ho  0.466  0.932  0.378
Dy  0.529  0.058  0.750
Ho  0.534  0.068  0.878
Dy  0.500  0.000  0.000
Ho  0.466  0.932  0.122
Er  0.806  0.612  0.250
Dy  0.471  0.942  0.250
Dy  0.194  0.389  0.896

## Li5Br (PBE)

Data for Li5Br after structural relaxation.

Crystal system   monoclinic
ΔE_f (raw)   -0.35 eV/atom
Space-group type   Cm
Distance to the lowest polymorph of the same formula   0 meV per atom

abc: 6.098 6.098 6.528
angles: 64.12 64.12 35.63
Element x y z (fractional)
Li  0.608  0.608  0.735
Li  0.636  0.636  0.240
Li  0.321  0.321  0.350
Li  0.961  0.961  0.558
Li  0.281  0.281  0.859
Br  0.026  0.026  0.092

## Ho5Tm12Th2 (PBE)

Data for Ho5Tm12Th2 after structural relaxation.

Crystal system   monoclinic
Space-group type   C2/m
Distance to the lowest polymorph of the same formula   0 meV per atom

abc: 12.185 12.185 8.391
angles: 47.76 47.76 44.69
Element x y z (fractional)
Ho  0.304  0.304  0.379
Ho  0.233  0.233  0.110
Tm  0.912  0.912  0.293
Tm  0.820  0.435  0.401
Tm  0.026  0.666  0.064
Tm  0.180  0.565  0.599
Th  0.681  0.319  0.000
Tm  0.556  0.556  0.213
Tm  0.666  0.026  0.064
Tm  0.974  0.334  0.936
Tm  0.334  0.974  0.936
Th  0.319  0.681  0.000
Ho  0.767  0.767  0.890
Ho  0.696  0.696  0.621
Tm  0.565  0.180  0.599
Tm  0.444  0.444  0.787
Ho  0.000  0.000  0.500
Tm  0.435  0.820  0.401
Tm  0.088  0.088  0.707

## Si5Ir (PBE)

Data for Si5Ir after structural relaxation.

Crystal system   orthorhombic
ΔE_f (raw)   0.23 eV/atom
Space-group type   Cmmm
Distance to the lowest polymorph of the same formula   172 meV per atom

abc: 5.792 5.792 3.681
angles: 90.00 90.00 136.68
Element x y z (fractional)
Si  0.151  0.849  0.000
Si  0.849  0.151  0.000
Ir  0.500  0.500  0.000
Si  0.679  0.321  0.500
Si  0.000  0.000  0.500
Si  0.321  0.679  0.500

## TbDy4In3 (PBE)

Data for TbDy4In3 after structural relaxation.

Crystal system   orthorhombic
Space-group type   Immm
Distance to the lowest polymorph of the same formula   99 meV per atom

abc: 3.499 8.832 8.936
angles: 119.61 101.29 90.00
Last column: magnetic moment on the atom in μB.
Element x y z (fractional)
Dy  0.640  0.838  0.279  0.03
In  0.185  0.185  0.369  0.00
In  0.815  0.815  0.631  0.00
Tb  0.500  0.000  0.000  0.12
Dy  0.360  0.559  0.721  0.03
Dy  0.360  0.162  0.721  0.03
In  0.000  0.500  0.000  0.00
Dy  0.640  0.441  0.279  0.03

## Li3U2PaN6 (PBE)

Data for Li3U2PaN6 after structural relaxation.

Crystal system   monoclinic
ΔE_f (raw)   -1.16 eV/atom
Space-group type   C2/m

abc: 3.508 6.453 7.398
angles: 95.81 103.71 90.00
Last column: magnetic moment on the atom in μB.
Element x y z (fractional)
N  0.987  0.769  0.974  -0.02
N  0.321  0.434  0.642  -0.05
Li  0.179  0.848  0.358  0.00
N  0.341  0.887  0.681  -0.03
N  0.013  0.231  0.026  -0.02
N  0.659  0.113  0.319  -0.03
Li  0.821  0.152  0.642  0.00
U  0.166  0.340  0.333  1.01
Pa  0.500  0.000  0.000  0.07
N  0.679  0.566  0.358  -0.05
U  0.834  0.660  0.667  1.01
Li  0.500  0.500  0.000  0.00

## PrNdGdAl (PBE)

Data for PrNdGdAl after structural relaxation.

Crystal system   cubic
Space-group type   F-43m
E_tot   -6.915 eV/atom

abc: 5.488 5.488 5.488
angles: 60.00 60.00 60.00
Last column: magnetic moment on the atom in μB.
Element x y z (fractional)
Gd  0.750  0.750  0.750  7.29
Pr  0.500  0.500  0.500  0.10
Al  0.250  0.250  0.250  -0.03
Nd  0.000  0.000  0.000  0.10

## SiHgB2O6 (PBE)

Data for SiHgB2O6 after structural relaxation.

Crystal system   monoclinic
ΔE_f (raw)   -1.98 eV/atom
Space-group type   C2/c

abc: 4.858 7.659 7.659
angles: 102.46 77.18 77.18
Element x y z (fractional)
B  0.906  0.686  0.753
O  0.380  0.210  0.226
Hg  0.750  0.191  0.809
O  0.674  0.640  0.118
B  0.094  0.314  0.247
Hg  0.250  0.809  0.191
O  0.528  0.304  0.504
O  0.826  0.882  0.360
O  0.880  0.226  0.210
O  0.326  0.360  0.882
Si  0.250  0.318  0.682
O  0.028  0.504  0.304
B  0.594  0.247  0.314
Si  0.750  0.682  0.318
B  0.406  0.753  0.686
O  0.120  0.774  0.790
O  0.174  0.118  0.640
O  0.472  0.696  0.496
O  0.972  0.496  0.696
O  0.620  0.790  0.774

## KRe2Tc (PBE)

Data for KRe2Tc after structural relaxation.

Crystal system   orthorhombic
Space-group type   Pmmm
Distance to the lowest polymorph of the same formula   892 meV per atom

abc: 2.781 4.852 5.040
angles: 90.00 90.00 90.00
Element x y z (fractional)
Re  0.000  0.000  0.000
Tc  0.500  0.000  0.500
K  0.000  0.500  0.500
Re  0.500  0.500  0.000

## YBrNO2 (PBE)

Data for YBrNO2 after structural relaxation.

Crystal system   tetragonal
ΔE_f (raw)   -0.15 eV/atom
Space-group type   P4/mmm

abc: 3.989 3.989 4.224
angles: 90.00 90.00 90.00
Element x y z (fractional)
N  0.000  0.000  0.500
O  0.000  0.500  0.000
Y  0.500  0.500  0.500
Br  0.000  0.000  0.000
O  0.500  0.000  0.000

## Cd12GaPb16 (PBE)

Data for Cd12GaPb16 after structural relaxation.

Crystal system   monoclinic
Space-group type   Cm
E_tot   -2.492 eV/atom

abc: 10.094 10.094 10.222
angles: 109.59 109.59 108.44
Element x y z (fractional)
Pb  0.288  0.582  0.590
Cd  0.191  0.803  0.813
Pb  0.408  0.995  0.684
Cd  0.172  0.361  0.987
Pb  0.656  0.997  0.004
Cd  0.364  0.992  0.179
Cd  0.187  0.001  0.367
Cd  0.001  0.187  0.367
Cd  0.361  0.172  0.987
Pb  0.582  0.288  0.590
Pb  0.318  0.708  0.309
Ga  0.627  0.627  0.312
Pb  0.302  0.302  0.714
Cd  0.819  0.633  0.633
Pb  0.995  0.408  0.684
Pb  0.366  0.366  0.319
Pb  0.417  0.677  0.008
Pb  0.006  0.006  0.008
Cd  0.815  0.815  0.201
Pb  0.988  0.988  0.656
Cd  0.638  0.638  0.828
Pb  0.708  0.318  0.309
Pb  0.683  0.004  0.407
Cd  0.992  0.364  0.179
Pb  0.997  0.656  0.004
Pb  0.677  0.417  0.008
Pb  0.004  0.683  0.407
Cd  0.803  0.191  0.813
Cd  0.633  0.819  0.633

## GaB3Te (PBE)

Data for GaB3Te after structural relaxation.

Crystal system   cubic
ΔE_f (raw)   1.73 eV/atom
Space-group type   Pm-3m
Distance to the lowest polymorph of the same formula   0 meV per atom

abc: 4.270 4.270 4.270
angles: 90.00 90.00 90.00
Element x y z (fractional)
B  0.500  0.000  0.000
Te  0.500  0.500  0.500
B  0.000  0.000  0.500
B  0.000  0.500  0.000
Ga  0.000  0.000  0.000

## CaLaSnBi (PBE)

Data for CaLaSnBi after structural relaxation.

Crystal system   cubic
Space-group type   F-43m
E_tot   -4.357 eV/atom

abc: 5.620 5.620 5.620
angles: 60.00 60.00 60.00
Element x y z (fractional)
Sn  0.250  0.250  0.250
Ca  0.000  0.000  0.000
Bi  0.750  0.750  0.750
La  0.500  0.500  0.500